Record 1
This record from Alexandria describes a relaxed structure of Cr3Te4. The functional is PBEsol.

The structure in POSCAR format:
```
Cr3Te4
1.0
3.9211 0.0000 0.0000
0.0000 6.8383 0.0056
-1.9606 -3.2627 6.0158
Cr Te
3 4
Direct
0.2584 0.2782 0.5169
0.7416 0.7218 0.4831
0.0000 0.0000 0.0000
0.1178 0.4525 0.2357
0.8822 0.5475 0.7643
0.3679 0.0292 0.7357
0.6321 0.9708 0.2643
```

Values from the calculation:
Its total moment is 9.71 μB per formula unit. The value obtained for the energy is -45.5 eV per cell. As for the uncorrected formation energy: -2.337 kcal/mol of atoms.

=====

Record 2
This record from Alexandria describes a relaxed structure of Cr3Te. The functional is PBEsol.

The structure in POSCAR format:
```
Cr3Te
1.0
-0.3729 2.9277 -0.9192
-0.2176 -2.3033 -2.0501
-7.0535 -0.4904 1.2995
Cr Te
3 1
Direct
0.0000 0.0000 0.2186
0.0000 0.0000 0.7814
0.3333 0.6667 0.0000
0.3333 0.6667 0.5000
```

Values from the calculation:
Its total moment is 1.57 μB per formula unit. The value obtained for the energy is -31.5 eV per cell. As for the uncorrected formation energy: 16.041 kcal/mol of atoms.

=====

Record 3
This record from Alexandria describes a relaxed structure of Cr2Te3. The functional is PBEsol.

The structure in POSCAR format:
```
Cr2Te3
1.0
-0.8548 4.4819 -4.9913
-4.7032 -4.7220 1.1465
-5.5592 7.3763 7.5755
Cr Te
8 12
Direct
0.6667 0.3333 0.7500
0.3333 0.6667 0.2500
0.0000 0.0000 0.0000
0.0000 0.0000 0.5000
0.6667 0.3333 0.0055
0.6667 0.3333 0.4945
0.3333 0.6667 0.9945
0.3333 0.6667 0.5055
0.6697 0.6692 0.6250
0.9995 0.3303 0.6250
0.3308 0.0005 0.6250
0.9995 0.6692 0.8750
0.3308 0.3303 0.8750
0.6697 0.0005 0.8750
0.3303 0.3308 0.3750
0.0005 0.6697 0.3750
0.6692 0.9995 0.3750
0.0005 0.3308 0.1250
0.6692 0.6697 0.1250
0.3303 0.9995 0.1250
```

Values from the calculation:
Its total moment is 6.06 μB per formula unit. The value obtained for the energy is -127.0 eV per cell. As for the uncorrected formation energy: -3.124 kcal/mol of atoms.